# LiCoPO4 PBE+U optimized geometry
# total moment	6.000	Bohr magnetons per cell
# space-group type	No. 148
# energy	-90.76	eV for the cell shown
# energy above the most stable polymorph in this dataset	163	meV/atom
data_LiCoPO4
_symmetry_space_group_name_H-M 'P 1'
_symmetry_Int_Tables_number 1
_cell_length_a 8.384
_cell_length_b 8.384
_cell_length_c 8.384
_cell_angle_alpha 33.67
_cell_angle_beta 33.67
_cell_angle_gamma 33.67
loop_
_symmetry_equiv_pos_as_xyz
'x,y,z'
loop_
_atom_site_label
_atom_site_fract_x
_atom_site_fract_y
_atom_site_fract_z
_atom_site_occupancy
Li1 0.217 0.217 0.217 1
Li2 0.783 0.783 0.783 1
Co1 0.338 0.338 0.338 1
Co2 0.662 0.662 0.662 1
P1 0.076 0.076 0.076 1
P2 0.924 0.924 0.924 1
O1 0.034 0.758 0.366 1
O2 0.139 0.139 0.139 1
O3 0.242 0.634 0.966 1
O4 0.366 0.034 0.758 1
O5 0.634 0.966 0.242 1
O6 0.758 0.366 0.034 1
O7 0.861 0.861 0.861 1
O8 0.966 0.242 0.634 1